No. 1
This record from OQMD describes a relaxed Cu7Ag3 crystal. The functional is PBE.

Unit cell a=2.778 b=3.399 c=14.524 alpha=90.00 beta=90.00 gamma=90.00
Fractional positions:
Ag  0.000  0.000  0.079
Cu  0.500  0.500  0.620
Cu  0.500  0.500  0.970
Cu  0.000  0.000  0.319
Ag  0.500  0.500  0.209
Cu  0.500  0.500  0.404
Ag  0.000  0.000  0.512
Cu  0.500  0.500  0.795
Cu  0.000  0.000  0.707
Cu  0.000  0.000  0.884

The mass density is 9.3 Mg/m³. The value obtained for the total energy is -33.816 eV/f.u. For the excess energy over the best structure of this formula in the dataset, the calculation gives 0.23 eV per formula unit. For the formation energy, the calculation gives 67.5 meV/atom.

No. 2
This record from OQMD describes a relaxed CuN crystal. The functional is PBE.

Unit cell a=5.827 b=5.827 c=4.938 alpha=90.00 beta=90.00 gamma=120.00
Fractional positions:
N  0.167  0.333  0.775
Cu  0.000  0.500  0.525
N  0.167  0.833  0.775
N  0.667  0.833  0.775
N  0.833  0.167  0.275
Cu  0.000  0.500  0.025
N  0.333  0.667  0.275
N  0.667  0.333  0.775
Cu  0.500  0.000  0.025
Cu  0.500  0.000  0.525
Cu  0.500  0.500  0.525
N  0.833  0.667  0.275
Cu  0.000  0.000  0.024
Cu  0.000  0.000  0.524
Cu  0.500  0.500  0.025
N  0.333  0.167  0.275

The mass density is 7.1 Mg/m³. The value obtained for the total energy is -9.973 eV/f.u. For the excess energy over the best structure of this formula in the dataset, the calculation gives 0.49 eV per formula unit.